[1]
The following is a GGA-PBE calculation of crystalline KTl4Pd5 at its relaxed geometry, from Alexandria.

Lattice parameters (Å, degrees): 8.4541 10.9606 4.8741 90.00 90.00 90.00
Space group Pmmn (No. 59, origin choice 2)
Unique sites:
K  0.2500  0.2500  0.0140
Tl  0.0330  0.7500  0.5205
Tl  0.2500  0.5252  0.7493
Pd  0.0804  0.5255  0.2495
Pd  0.2500  0.7500  0.0510

Computed properties:
raw total energy	-3.76	eV/atom

[2]
The following is a GGA-PBE calculation of crystalline K5Tl6Pd at its relaxed geometry, from Alexandria.

Lattice parameters (Å, degrees): 6.9797 12.1351 10.6044 90.00 102.68 90.00
Space group C2/m (No. 12)
Unique sites:
K  0.0000  0.0000  0.0000
K  0.0000  0.1624  0.5000
K  0.0000  0.3167  0.0000
Tl  0.1974  0.5000  0.2675
Tl  0.2036  0.3649  0.7202
Pd  0.0000  0.5000  0.5000

Computed properties:
raw total energy	-2.07	eV/atom

[3]
The following is a GGA-PBE calculation of crystalline K3Tl7Pd2 at its relaxed geometry, from Alexandria.

Lattice parameters (Å, degrees): 5.4279 26.5027 5.4480 90.00 90.00 90.00
Space group Cmmm (No. 65)
Unique sites:
K  0.0000  0.0000  0.0000
K  0.0000  0.1908  0.0000
Tl  0.0000  0.1011  0.5000
Tl  0.0000  0.2871  0.5000
Tl  0.0000  0.4029  0.0000
Tl  0.0000  0.5000  0.5000
Pd  0.0000  0.3928  0.5000

Computed properties:
raw total energy	-2.61	eV/atom

[4]
The following is a GGA-PBE calculation of crystalline K6Tl2Pd at its relaxed geometry, from Alexandria.

Lattice parameters (Å, degrees): 6.2366 6.2366 34.7689 90.00 90.00 120.00
Space group R-3m (No. 166, hexagonal axes)
Unique sites:
K  0.0000  0.0000  0.0767
K  0.0000  0.0000  0.1903
K  0.0000  0.0000  0.3106
Tl  0.0000  0.0000  0.4220
Pd  0.0000  0.0000  0.5000

Computed properties:
raw total energy	-1.87	eV/atom

[5]
The following is a GGA-PBE calculation of crystalline K3TlPd at its relaxed geometry, from Alexandria.

Lattice parameters (Å, degrees): 12.4582 10.3461 8.5702 90.00 131.22 90.00
Space group C2/m (No. 12)
Unique sites:
K  0.0571  0.0000  0.3441
K  0.2206  0.3067  0.7668
Tl  0.0628  0.5000  0.2501
Pd  0.2173  0.5000  0.1162

Computed properties:
raw total energy	-2.21	eV/atom
energy relative to the lowest polymorph listed for this composition	0.0	kJ/mol of atoms

[6]
The following is a GGA-PBE calculation of crystalline KTl2Pd at its relaxed geometry, from Alexandria.

Lattice parameters (Å, degrees): 4.3530 4.3530 22.9639 90.00 90.00 120.00
Space group R-3m (No. 166, hexagonal axes)
Unique sites:
K  0.0000  0.0000  0.0000
Tl  0.0000  0.0000  0.2233
Pd  0.0000  0.0000  0.5000

Computed properties:
raw total energy	-2.86	eV/atom

[7]
The following is a GGA-PBE calculation of crystalline KTlPd2 at its relaxed geometry, from Alexandria.

Lattice parameters (Å, degrees): 3.4787 3.4787 7.7091 90.00 90.00 90.00
Space group P4/mmm (No. 123)
Unique sites:
K  0.0000  0.0000  0.0000
Tl  0.0000  0.0000  0.5000
Pd  0.5000  0.5000  0.3126

Computed properties:
raw total energy	-3.47	eV/atom

[8]
The following is a GGA-PBE calculation of crystalline K2TlPd at its relaxed geometry, from Alexandria.

Lattice parameters (Å, degrees): 8.0687 8.0687 8.0687 90.00 90.00 90.00
Space group Fm-3m (No. 225)
Unique sites:
K  0.2500  0.2500  0.2500
Tl  0.0000  0.0000  0.0000
Pd  0.0000  0.0000  0.5000

Computed properties:
raw total energy	-2.28	eV/atom
energy relative to the lowest polymorph listed for this composition	26.5	kJ/mol of atoms

[9]
The following is a GGA-PBE calculation of crystalline K2Tl6Pd at its relaxed geometry, from Alexandria.

Lattice parameters (Å, degrees): 12.7258 7.3525 7.3554 90.00 125.22 90.00
Space group C2/m (No. 12)
Unique sites:
K  0.2499  0.0000  0.2495
Tl  0.0000  0.2288  0.2713
Tl  0.2286  0.0000  0.7279
Pd  0.0000  0.5000  0.0000

Computed properties:
raw total energy	-2.48	eV/atom
energy relative to the lowest polymorph listed for this composition	2.0	kJ/mol of atoms

[10]
The following is a GGA-PBE calculation of crystalline KTl2Pd2 at its relaxed geometry, from Alexandria.

Lattice parameters (Å, degrees): 4.2565 4.2565 14.3917 90.00 90.00 90.00
Space group I4/mmm (No. 139)
Unique sites:
K  0.0000  0.0000  0.0000
Tl  0.0000  0.0000  0.3736
Pd  0.0000  0.5000  0.2500

Computed properties:
raw total energy	-3.39	eV/atom
energy relative to the lowest polymorph listed for this composition	2.4	kJ/mol of atoms

[11]
The following is a GGA-PBE calculation of crystalline KTl3Pd at its relaxed geometry, from Alexandria.

Lattice parameters (Å, degrees): 6.4887 6.8074 7.3485 112.93 90.60 90.48
Space group P-1 (No. 2)
Unique sites:
K  0.0230  0.3266  0.2030
Tl  0.1515  0.1387  0.6803
Tl  0.4721  0.7363  0.5290
Tl  0.5000  0.0000  0.0000
Tl  0.5000  0.5000  0.0000
Pd  0.2708  0.8690  0.2535

Computed properties:
raw total energy	-2.80	eV/atom
energy relative to the lowest polymorph listed for this composition	2.2	kJ/mol of atoms

[12]
The following is a GGA-PBE calculation of crystalline K16Tl22Pd at its relaxed geometry, from Alexandria.

Lattice parameters (Å, degrees): 10.1746 10.1746 52.1334 90.00 90.00 120.00
Space group R32 (No. 155, hexagonal axes)
Unique sites:
K  0.0000  0.0000  0.1715
K  0.0000  0.0000  0.3273
K  0.0277  0.2934  0.8942
K  0.0403  0.6253  0.0633
Tl  0.0000  0.0000  0.0551
Tl  0.0000  0.0000  0.4481
Tl  0.0000  0.2170  0.5000
Tl  0.0000  0.7285  0.0000
Tl  0.0060  0.2846  0.9686
Tl  0.0101  0.7035  0.4689
Pd  0.0000  0.0000  0.0000

Computed properties:
raw total energy	-2.06	eV/atom

[13]
The following is a GGA-PBE calculation of crystalline K2TlPd at its relaxed geometry, from Alexandria.

Lattice parameters (Å, degrees): 8.2808 4.7554 8.7982 90.00 107.35 90.00
Space group Cm (No. 8)
Unique sites:
K  0.0000  0.0000  0.0000
K  0.1734  0.0000  0.5436
Tl  0.2536  0.5000  0.2720
Pd  0.4207  0.0000  0.2709

Computed properties:
raw total energy	-2.56	eV/atom
energy relative to the lowest polymorph listed for this composition	0.0	kJ/mol of atoms

[14]
The following is a GGA-PBE calculation of crystalline KTl2Pd2 at its relaxed geometry, from Alexandria.

Lattice parameters (Å, degrees): 8.5464 8.5464 3.1219 90.00 90.00 90.00
Space group P4/mbm (No. 127)
Unique sites:
K  0.0000  0.0000  0.0000
Tl  0.1424  0.3576  0.5000
Pd  0.1524  0.6524  0.0000

Computed properties:
raw total energy	-3.37	eV/atom
energy relative to the lowest polymorph listed for this composition	4.1	kJ/mol of atoms

[15]
The following is a GGA-PBE calculation of crystalline KTlPd4 at its relaxed geometry, from Alexandria.

Lattice parameters (Å, degrees): 7.9003 4.2293 8.5383 90.00 90.00 90.00
Space group Pmma (No. 51)
Unique sites:
K  0.2500  0.0000  0.1478
Tl  0.2500  0.0000  0.7397
Pd  0.0000  0.0000  0.5000
Pd  0.0340  0.5000  0.7131
Pd  0.2500  0.5000  0.4626

Computed properties:
raw total energy	-4.03	eV/atom
energy relative to the lowest polymorph listed for this composition	6.0	kJ/mol of atoms

[16]
The following is a GGA-PBE calculation of crystalline KTl3Pd5 at its relaxed geometry, from Alexandria.

Lattice parameters (Å, degrees): 4.3617 14.2660 12.9179 90.00 90.00 90.00
Space group Cmcm (No. 63)
Unique sites:
K  0.0000  0.2232  0.2500
Tl  0.0000  0.0777  0.7500
Tl  0.0000  0.3786  0.5774
Pd  0.0000  0.0000  0.0000
Pd  0.0000  0.1890  0.5520
Pd  0.0000  0.4349  0.1273

Computed properties:
raw total energy	-3.96	eV/atom

[17]
The following is a GGA-PBE calculation of crystalline KTl3Pd at its relaxed geometry, from Alexandria.

Lattice parameters (Å, degrees): 5.4629 5.4629 5.4629 90.00 90.00 90.00
Space group Pm-3m (No. 221)
Unique sites:
K  0.0000  0.0000  0.0000
Tl  0.0000  0.5000  0.5000
Pd  0.5000  0.5000  0.5000

Computed properties:
raw total energy	-2.76	eV/atom
energy relative to the lowest polymorph listed for this composition	6.2	kJ/mol of atoms

[18]
The following is a GGA-PBE calculation of crystalline KTl4Pd6 at its relaxed geometry, from Alexandria.

Lattice parameters (Å, degrees): 7.9016 7.9016 4.3396 90.00 90.00 120.00
Space group P-6m2 (No. 187)
Unique sites:
K  0.0000  0.0000  0.0000
Tl  0.3333  0.6667  0.0000
Tl  0.3880  0.1940  0.5000
Pd  0.2084  0.4168  0.5000
Pd  0.5366  0.0732  0.0000

Computed properties:
raw total energy	-3.95	eV/atom

[19]
The following is a GGA-PBE calculation of crystalline KTl12Pd5 at its relaxed geometry, from Alexandria.

Lattice parameters (Å, degrees): 8.9840 9.0814 11.1955 90.00 90.00 90.00
Space group Immm (No. 71)
Unique sites:
K  0.0000  0.0000  0.0000
Tl  0.0000  0.3046  0.1785
Tl  0.1796  0.2754  0.5000
Tl  0.1875  0.0000  0.2671
Pd  0.0000  0.0000  0.5000
Pd  0.0000  0.5000  0.3751
Pd  0.1640  0.5000  0.0000

Computed properties:
raw total energy	-3.16	eV/atom

[20]
The following is a GGA-PBE calculation of crystalline KTl3Pd at its relaxed geometry, from Alexandria.

Lattice parameters (Å, degrees): 9.3354 4.8775 12.7479 90.00 90.00 90.00
Space group Pnma (No. 62)
Unique sites:
K  0.1852  0.2500  0.0030
Tl  0.0602  0.2500  0.5807
Tl  0.1195  0.7500  0.7961
Tl  0.1421  0.7500  0.2146
Pd  0.0938  0.2500  0.3561

Computed properties:
raw total energy	-2.82	eV/atom
energy relative to the lowest polymorph listed for this composition	0.0	kJ/mol of atoms